1.
Here is an optimized crystal structure of In7Ni3 from the Alexandria database. Energies are from PBEsol.

Calculated values
The volume comes out at 18.99 Å³ per atom. The total energy is -4.111 eV/atom. Its calculated density is 8.57 g cm⁻³. The energy of formation comes out at -1.758 eV per formula unit.

a b c (Å): 7.902 7.902 7.902
angles (deg): 109.47 109.47 109.47
Atoms (fractional coordinates):
In 0.500 0.750 0.250
In 0.500 0.250 0.750
In 0.750 0.500 0.250
In 0.250 0.500 0.750
In 0.250 0.750 0.500
In 0.750 0.250 0.500
In 0.679 0.000 0.000
In 0.321 0.000 0.000
In 0.000 0.679 0.000
In 0.000 0.000 0.679
In 0.000 0.321 0.000
In 0.000 0.000 0.321
In 0.321 0.321 0.321
In 0.679 0.679 0.679
Ni 0.000 0.355 0.355
Ni 0.000 0.645 0.645
Ni 0.645 0.000 0.645
Ni 0.355 0.000 0.355
Ni 0.645 0.645 0.000
Ni 0.355 0.355 0.000

***

2.
Here is an optimized crystal structure of In4Ni from the Alexandria database. Energies are from PBEsol.

Calculated values
The volume comes out at 22.36 Å³ per atom. The total energy is -3.649 eV/atom. Its calculated density is 7.69 g cm⁻³. The energy of formation comes out at -0.158 eV per formula unit.

a b c (Å): 5.256 5.256 5.256
angles (deg): 109.47 109.47 109.47
Atoms (fractional coordinates):
Ni 0.000 0.000 0.000
In 0.000 0.000 0.500
In 0.000 0.500 0.000
In 0.500 0.000 0.000
In 0.500 0.500 0.500

***

3.
Here is an optimized crystal structure of InNi3 from the Alexandria database. Energies are from PBEsol.

Calculated values
The volume comes out at 12.47 Å³ per atom. The total energy is -5.456 eV/atom. Its calculated density is 9.69 g cm⁻³. The energy of formation comes out at -0.368 eV per formula unit.

a b c (Å): 4.163 5.260 5.260
angles (deg): 120.00 90.00 90.00
Each line ends with the local moment (μB).
Atoms (fractional coordinates):
In 0.750 0.667 0.333  -0.01
In 0.250 0.333 0.667  -0.01
Ni 0.750 0.157 0.843  0.20
Ni 0.750 0.686 0.843  0.20
Ni 0.750 0.157 0.314  0.20
Ni 0.250 0.843 0.157  0.20
Ni 0.250 0.314 0.157  0.20
Ni 0.250 0.843 0.686  0.20

***

4.
Here is an optimized crystal structure of InNi3 from the Alexandria database. Energies are from PBEsol.

Calculated values
The volume comes out at 12.45 Å³ per atom. The total energy is -5.431 eV/atom. Its calculated density is 9.70 g cm⁻³. The energy of formation comes out at -0.270 eV per formula unit.

a b c (Å): 3.680 3.680 3.680
angles (deg): 90.00 90.00 90.00
Each line ends with the local moment (μB).
Atoms (fractional coordinates):
Ni 0.000 0.500 0.500  0.25
Ni 0.500 0.000 0.500  0.25
Ni 0.500 0.500 0.000  0.25
In 0.000 0.000 0.000  -0.02

***

5.
Here is an optimized crystal structure of In2Ni from the Alexandria database. Energies are from PBEsol.

Calculated values
The volume comes out at 18.07 Å³ per atom. The total energy is -4.196 eV/atom. Its calculated density is 8.83 g cm⁻³. The energy of formation comes out at -0.465 eV per formula unit.

a b c (Å): 5.231 5.231 5.231
angles (deg): 105.47 105.47 117.81
Atoms (fractional coordinates):
In 0.825 0.325 0.151
In 0.175 0.675 0.849
In 0.325 0.175 0.500
In 0.675 0.825 0.500
Ni 0.750 0.750 0.000
Ni 0.250 0.250 0.000

***

6.
Here is an optimized crystal structure of In2Ni from the Alexandria database. Energies are from PBEsol.

Calculated values
The volume comes out at 19.79 Å³ per atom. The total energy is -4.131 eV/atom. Its calculated density is 8.06 g cm⁻³. The energy of formation comes out at -0.270 eV per formula unit.

a b c (Å): 3.057 6.321 6.334
angles (deg): 90.00 90.00 103.99
Atoms (fractional coordinates):
In 0.253 0.505 0.156
In 0.747 0.495 0.656
In 0.995 0.989 0.211
In 0.005 0.011 0.711
Ni 0.388 0.777 0.466
Ni 0.612 0.223 0.966

***

7.
Here is an optimized crystal structure of InNi3 from the Alexandria database. Energies are from PBEsol.

Calculated values
The volume comes out at 12.43 Å³ per atom. The total energy is -5.432 eV/atom. Its calculated density is 9.72 g cm⁻³. The energy of formation comes out at -0.274 eV per formula unit.

a b c (Å): 3.762 3.762 4.407
angles (deg): 115.27 115.27 90.00
Atoms (fractional coordinates):
Ni 0.500 0.500 0.000
Ni 0.250 0.750 0.500
Ni 0.750 0.250 0.500
In 0.000 0.000 0.000

***

8.
Here is an optimized crystal structure of In2Ni from the Alexandria database. Energies are from PBEsol.

Calculated values
The volume comes out at 18.86 Å³ per atom. The total energy is -3.652 eV/atom. Its calculated density is 8.46 g cm⁻³. The energy of formation comes out at 1.166 eV per formula unit.

a b c (Å): 2.867 4.773 4.773
angles (deg): 120.00 90.00 90.00
Atoms (fractional coordinates):
In 0.000 0.333 0.667
In 0.000 0.667 0.333
Ni 0.500 0.000 0.000